Entry 1:
La2YCd after structural relaxation, computed with PBE-GGA.

* SG: No. 47
* DOS(E_F): 1.5779 states/eV per atom
* formation energy: -74 meV per atom
* volume: 124.0 Å³/cell
* crystal system: orthorhombic

a = 3.7510 Å, b = 5.6322 Å, c = 5.8673 Å
α = 90.00°, β = 90.00°, γ = 90.00°
Last column: nearest neighbours and their distance in Å.
Element x y z (fractional)
Y 0.5000 0.0000 0.5000  4 Cd 3.38, 4 La 3.48, 2 Y 3.75
La 0.0000 0.0000 0.0000  6 La 3.38-3.75, 4 Y 3.48
La 0.5000 0.5000 0.0000  6 La 3.38-3.75, 4 Cd 3.48
Cd 0.0000 0.5000 0.5000  4 Y 3.38, 4 La 3.48, 2 Cd 3.75



Entry 2:
AcZn2Pt8 after structural relaxation, computed with PBE-GGA.

* SG: No. 123
* DOS(E_F): 0.5612 states/eV per atom
* formation energy: -163 meV per atom
* volume: 243.2 Å³/cell
* crystal system: tetragonal

a = 5.2846 Å, b = 5.2846 Å, c = 8.7087 Å
α = 90.00°, β = 90.00°, γ = 90.00°
Last column: nearest neighbours and their distance in Å.
Element x y z (fractional)
Zn 0.5000 0.0000 0.0000  8 Pt 2.66
Zn 0.0000 0.5000 0.0000  8 Pt 2.66
Pt 0.7526 0.2474 0.2167  4 Pt 2.61-2.67, 2 Zn 2.66
Pt 0.2474 0.2474 0.7833  4 Pt 2.61-2.67, 2 Zn 2.66
Pt 0.2474 0.7526 0.2167  4 Pt 2.61-2.67, 2 Zn 2.66
Pt 0.2474 0.2474 0.2167  4 Pt 2.61-2.67, 2 Zn 2.66
Pt 0.2474 0.7526 0.7833  4 Pt 2.61-2.67, 2 Zn 2.66
Pt 0.7526 0.7526 0.2167  4 Pt 2.61-2.67, 2 Zn 2.66
Pt 0.7526 0.7526 0.7833  4 Pt 2.61-2.67, 2 Zn 2.66
Pt 0.7526 0.2474 0.7833  4 Pt 2.61-2.67, 2 Zn 2.66
Ac 0.5000 0.5000 0.5000  8 Pt 3.11



Entry 3:
ScGa2Rh4 after structural relaxation, computed with PBE-GGA.

* SG: No. 139
* DOS(E_F): 0.3872 states/eV per atom
* formation energy: -549 meV per atom
* volume: 110.4 Å³/cell
* crystal system: tetragonal

a = 5.2347 Å, b = 5.2347 Å, c = 5.2347 Å
α = 109.96°, β = 109.23°, γ = 109.23°
Last column: nearest neighbours and their distance in Å.
Element x y z (fractional)
Rh 0.5000 0.5000 0.5000  4 Ga 2.62, 2 Sc 2.62
Rh 0.0000 0.0000 0.5000  4 Ga 2.62, 2 Sc 2.62
Rh 0.5000 0.0000 0.0000  2 Sc 2.62, 4 Ga 2.62
Rh 0.0000 0.5000 0.0000  4 Ga 2.62, 2 Sc 2.62
Ga 0.5000 0.0000 0.5000  8 Rh 2.62
Ga 0.5000 0.5000 0.0000  8 Rh 2.62
Sc 0.0000 0.0000 0.0000  8 Rh 2.62



Entry 4:
Nb3AuN after structural relaxation, computed with PBE-GGA.

* SG: No. 99
* DOS(E_F): 0.5174 states/eV per atom
* energy relative to the elements, uncorrected: 255 meV per atom
* volume: 113.6 Å³/cell
* crystal system: tetragonal

a = 4.1176 Å, b = 4.1176 Å, c = 6.6989 Å
α = 90.00°, β = 90.00°, γ = 90.00°
Last column: nearest neighbours and their distance in Å.
Element x y z (fractional)
N 0.5000 0.5000 0.4061  4 Nb 2.10
Nb 0.5000 0.0000 0.4711  2 N 2.10
Nb 0.0000 0.5000 0.4711  2 N 2.10
Nb 0.0000 0.0000 0.7523  1 Au 2.75, 4 Nb 2.79
Au 0.0000 0.0000 0.1632  5 Nb 2.75-2.91



Entry 5:
KAgF3 after structural relaxation, computed with PBE-GGA.

* SG: No. 63
* DOS(E_F): 0.5872 states/eV per atom
* energy relative to the elements, uncorrected: -1604 meV per atom
* volume: 252.6 Å³/cell
* crystal system: orthorhombic

a = 8.9870 Å, b = 8.9870 Å, c = 5.0878 Å
α = 90.00°, β = 90.00°, γ = 142.06°
Last column: nearest neighbours and their distance in Å.
Element x y z (fractional)
F 0.0000 0.0000 0.5000  2 Ag 2.11
F 0.9268 0.5549 0.2500  1 Ag 2.11
F 0.4451 0.0732 0.2500  1 Ag 2.11
F 0.0000 0.0000 0.0000  2 Ag 2.11
F 0.5549 0.9268 0.7500  1 Ag 2.11
F 0.0732 0.4451 0.7500  1 Ag 2.11
Ag 0.9007 0.0993 0.7500  4 F 2.11
Ag 0.0993 0.9007 0.2500  4 F 2.11
K 0.6886 0.3114 0.7500  6 F 2.62-2.91
K 0.3114 0.6886 0.2500  6 F 2.62-2.91



Entry 6:
AcPa2Te4 after structural relaxation, computed with PBE-GGA.

* SG: No. 63
* DOS(E_F): 1.3910 states/eV per atom
* energy relative to the elements, uncorrected: -938 meV per atom
* volume: 476.7 Å³/cell
* crystal system: orthorhombic

a = 4.3851 Å, b = 7.3246 Å, c = 15.5557 Å
α = 90.00°, β = 90.00°, γ = 107.42°
Last column: nearest neighbours and their distance in Å.
Element x y z (fractional)
Pa 0.1440 0.2879 0.4423  6 Te 3.08-3.14
Pa 0.1440 0.2879 0.0577  6 Te 3.08-3.14
Pa 0.8560 0.7121 0.5577  6 Te 3.08-3.14
Pa 0.8560 0.7121 0.9423  6 Te 3.08-3.14
Ac 0.3980 0.7960 0.2500  6 Te 3.31-3.33
Ac 0.6020 0.2040 0.7500  6 Te 3.31-3.33
Te 0.2202 0.4403 0.6284  3 Pa 3.08-3.10, 2 Ac 3.33
Te 0.5000 0.0000 0.0000  4 Pa 3.11
Te 0.9245 0.8489 0.7500  2 Pa 3.14, 2 Ac 3.31
Te 0.0755 0.1511 0.2500  2 Pa 3.14, 2 Ac 3.31
Te 0.5000 0.0000 0.5000  4 Pa 3.11
Te 0.2202 0.4403 0.8716  3 Pa 3.08-3.10, 2 Ac 3.33
Te 0.7798 0.5597 0.3716  3 Pa 3.08-3.10, 2 Ac 3.33
Te 0.7798 0.5597 0.1284  3 Pa 3.08-3.10, 2 Ac 3.33



Entry 7:
Mg2RuSe after structural relaxation, computed with PBE-GGA.

* SG: No. 216
* DOS(E_F): 0.8554 states/eV per atom
* energy relative to the elements, uncorrected: 57 meV per atom
* volume: 68.1 Å³/cell
* crystal system: cubic

a = 4.5833 Å, b = 4.5833 Å, c = 4.5833 Å
α = 60.00°, β = 60.00°, γ = 60.00°
Last column: nearest neighbours and their distance in Å.
Element x y z (fractional)
Mg 0.7500 0.7500 0.7500  4 Mg 2.81, 4 Ru 2.81
Mg 0.0000 0.0000 0.0000  4 Se 2.81, 4 Mg 2.81
Ru 0.5000 0.5000 0.5000  4 Se 2.81, 4 Mg 2.81
Se 0.2500 0.2500 0.2500  4 Mg 2.81, 4 Ru 2.81



Entry 8:
PmGaNi after structural relaxation, computed with PBE-GGA.

* SG: No. 216
* DOS(E_F): 1.4252 states/eV per atom
* formation energy: -373 meV per atom
* volume: 63.7 Å³/cell
* crystal system: cubic

a = 4.4820 Å, b = 4.4820 Å, c = 4.4820 Å
α = 60.00°, β = 60.00°, γ = 60.00°
Last column: nearest neighbours and their distance in Å.
Element x y z (fractional)
Ga 0.0000 0.0000 0.0000  4 Ni 2.74
Ni 0.2500 0.2500 0.2500  4 Pm 2.74, 4 Ga 2.74
Pm 0.5000 0.5000 0.5000  4 Ni 2.74



Entry 9:
Tl6TeF12 after structural relaxation, computed with PBE-GGA.

* SG: No. 148
* DOS(E_F): 0.8226 states/eV per atom
* energy relative to the elements, uncorrected: -1835 meV per atom
* volume: 441.5 Å³/cell
* crystal system: trigonal

a = 7.7515 Å, b = 7.7515 Å, c = 7.7515 Å
α = 100.02°, β = 100.02°, γ = 100.02°
Last column: nearest neighbours and their distance in Å.
Element x y z (fractional)
Tl 0.1546 0.3339 0.5989  4 F 2.51-2.81
Tl 0.4011 0.8454 0.6661  4 F 2.51-2.81
Tl 0.8454 0.6661 0.4011  4 F 2.51-2.81
Tl 0.5989 0.1546 0.3339  4 F 2.51-2.81
Tl 0.3339 0.5989 0.1546  4 F 2.51-2.81
Tl 0.6661 0.4011 0.8454  4 F 2.51-2.81
F 0.4133 0.5644 0.8113  4 Tl 2.51-2.81
F 0.8113 0.4133 0.5644  4 Tl 2.51-2.81
F 0.7466 0.0161 0.9193  1 Te 1.99
F 0.1887 0.5867 0.4356  4 Tl 2.51-2.81
F 0.5644 0.8113 0.4133  4 Tl 2.51-2.81
F 0.0161 0.9193 0.7466  1 Te 1.99
F 0.2534 0.9839 0.0807  1 Te 1.99
F 0.9839 0.0807 0.2534  1 Te 1.99
F 0.0807 0.2534 0.9839  1 Te 1.99
F 0.9193 0.7466 0.0161  1 Te 1.99
F 0.5867 0.4356 0.1887  4 Tl 2.51-2.81
F 0.4356 0.1887 0.5867  4 Tl 2.51-2.81
Te 0.0000 0.0000 0.0000  6 F 1.99



Entry 10:
Ac2MgTl4 after structural relaxation, computed with PBE-GGA.

* SG: No. 12
* DOS(E_F): 0.6545 states/eV per atom
* formation energy: -133 meV per atom
* volume: 245.4 Å³/cell
* crystal system: monoclinic

a = 5.8859 Å, b = 5.8859 Å, c = 9.0371 Å
α = 115.42°, β = 115.42°, γ = 65.78°
Last column: nearest neighbours and their distance in Å.
Element x y z (fractional)
Tl 0.0327 0.0327 0.3526  1 Mg 3.03, 3 Tl 3.05-3.38, 1 Ac 3.39
Tl 0.9673 0.9673 0.6474  1 Mg 3.03, 3 Tl 3.05-3.38, 1 Ac 3.39
Tl 0.0000 0.5000 0.0000  2 Mg 2.94, 2 Tl 3.20
Tl 0.5000 0.0000 0.0000  2 Mg 2.94, 2 Tl 3.20
Ac 0.6225 0.6225 0.2660  8 Tl 3.39-3.72
Ac 0.3775 0.3775 0.7340  8 Tl 3.39-3.72
Mg 0.0000 0.0000 0.0000  6 Tl 2.94-3.03



Entry 11:
MnCdTc2 after structural relaxation, computed with PBE-GGA.

* SG: No. 44
* DOS(E_F): 0.6562 states/eV per atom
* formation energy: 369 meV per atom
* volume: 62.7 Å³/cell
* crystal system: orthorhombic

a = 5.1039 Å, b = 5.1039 Å, c = 5.1039 Å
α = 142.44°, β = 128.34°, γ = 65.60°
Last column: nearest neighbours and their distance in Å.
Element x y z (fractional)
Tc 0.9939 0.9939 0.0000  2 Tc 2.53, 2 Mn 2.66, 4 Cd 2.77
Tc 0.7689 0.2689 0.5000  2 Tc 2.53, 4 Mn 2.78, 2 Cd 2.84
Mn 0.2380 0.7380 0.5000  6 Tc 2.66-2.78, 2 Cd 2.78
Cd 0.4992 0.4992 0.0000  8 Tc 2.77-2.98, 4 Mn 2.78-3.02



Entry 12:
YTlSe2 after structural relaxation, computed with PBE-GGA.

* SG: No. 38
* DOS(E_F): 0.0515 states/eV per atom
* energy relative to the elements, uncorrected: -1106 meV per atom
* volume: 102.1 Å³/cell
* crystal system: orthorhombic

a = 4.4976 Å, b = 4.0685 Å, c = 5.9417 Å
α = 69.97°, β = 90.00°, γ = 90.00°
Last column: nearest neighbours and their distance in Å.
Element x y z (fractional)
Se 0.5000 0.2464 0.3823  4 Tl 3.03, 3 Y 3.11-3.22
Se 0.0000 0.9824 0.9099  1 Tl 2.75
Tl 0.0000 0.7361 0.4028  5 Se 2.75-3.03
Y 0.5000 0.5351 0.8050  7 Se 3.09-3.22, 2 Tl 3.18



Number 1: raw total energy -17.53 eV/cell. Number 2: raw total energy -56.78 eV/cell. Number 3: raw total energy -45.64 eV/cell. Number 4: raw total energy -40.54 eV/cell. Number 5: raw total energy -35.16 eV/cell. Number 6: raw total energy -84.47 eV/cell. Number 7: raw total energy -15.72 eV/cell. Number 8: raw total energy -14.68 eV/cell. Number 9: raw total energy -74.65 eV/cell. Number 10: raw total energy -20.21 eV/cell. Number 11: raw total energy -29.34 eV/cell. Number 12: raw total energy -20.22 eV/cell.